Computed, not measured: a relaxed structure of Mn2CrBTe at the GGA-PBE level of DFT.

Lattice parameters (Å, degrees): 4.8948 4.8948 4.7495 90.00 90.00 90.00
With the nearest neighbours (Å) after each atom.
Sites, in units of the cell vectors:
Mn 0.0000 0.5000 0.0000  2 Te 2.45
Mn 0.5000 0.0000 0.0000  2 Te 2.45
Cr 0.0000 0.0000 0.5000  2 Te 2.37
B 0.5000 0.5000 0.5000  8 Mn 3.41, 4 Cr 3.46
Te 0.0000 0.0000 0.0000  2 Cr 2.37, 4 Mn 2.45

The total moment comes out at 7.6 μB/cell. As for the formation energy without anion corrections: 2.104 eV per atom. The value obtained for the density of states at the Fermi level is 1.417 states/eV/atom. For the total energy, the calculation gives -5.4524 eV/atom.